1.
Mg2MnHgN | PBE | optimized geometry

Summary:
Space-group type ... P4/mmm (123)
Total energy ... -4.5017 eV per atom

The structure in POSCAR format:
```
Mg2MnHgN
1.0
-2.480 3.625 -0.061
-2.632 -1.749 3.051
2.254 1.590 2.856
Mg Hg Mn N
2 1 1 1
Direct
0.500 0.000 0.000
0.000 0.500 0.000
0.500 0.500 0.500
0.000 0.000 0.500
0.000 0.000 0.000
```


2.
Mg2MnHgW | PBE | optimized geometry

Summary:
Calculated formation energy ... 0.8859 eV/atom
Space-group type ... P4/mmm (123)

The structure in POSCAR format:
```
Mg2MnHgW
1.0
-3.672 0.448 3.230
1.446 -3.528 2.133
2.827 2.862 2.817
Mg Mn Hg W
2 1 1 1
Direct
0.500 0.000 0.000
0.000 0.000 0.500
0.000 0.000 0.000
0.500 0.500 0.500
0.000 0.500 0.000
```


3.
MgZr2MnHg | PBE | optimized geometry

Summary:
Calculated formation energy ... 0.3008 eV/atom
Space-group type ... P4/mmm (123)

The structure in POSCAR format:
```
MgZr2MnHg
1.0
-4.355 -1.665 0.765
0.064 -2.226 -4.482
1.832 -3.890 1.958
Mg Zr Mn Hg
1 2 1 1
Direct
0.000 0.500 0.000
0.500 0.000 0.000
0.000 0.000 0.500
0.000 0.000 0.000
0.500 0.500 0.500
```


4.
MgHg2Mo | PBE | optimized geometry

Summary:
Calculated formation energy ... 0.3707 eV/atom
Space-group type ... R-3m (166)

The structure in POSCAR format:
```
MgHg2Mo
1.0
9.741 -0.002 -0.001
9.258 3.029 -0.001
9.258 1.475 2.646
Mg Hg Mo
1 2 1
Direct
0.250 0.250 0.250
0.499 0.499 0.499
0.001 0.001 0.001
0.750 0.750 0.750
```


5.
MgHg2Mo | PBE | optimized geometry

Summary:
Calculated formation energy ... 0.4052 eV/atom
Space-group type ... C2/m (12)

The structure in POSCAR format:
```
MgHg2Mo
1.0
5.042 0.003 0.005
4.161 2.848 0.005
0.891 0.276 5.513
Hg Mg Mo
2 1 1
Direct
0.001 0.001 0.991
0.499 0.499 0.509
0.250 0.250 0.250
0.750 0.750 0.750
```


6.
Mg2HgMo | PBE | optimized geometry

Summary:
Calculated formation energy ... 0.2486 eV/atom
Space-group type ... C2/m (12)

The structure in POSCAR format:
```
Mg2HgMo
1.0
5.493 -0.007 -0.023
-2.585 4.976 0.004
0.324 0.824 2.734
Mo Hg Mg
1 1 2
Direct
0.000 0.500 0.500
0.500 0.500 0.000
0.000 0.000 0.000
0.500 0.000 0.500
```


7.
Mg2HgMo | PBE | optimized geometry

Summary:
Calculated formation energy ... 0.1485 eV/atom
Space-group type ... P4/mmm (123)

The structure in POSCAR format:
```
Mg2HgMo
1.0
2.904 0.000 0.000
0.000 2.904 0.000
0.000 0.000 9.033
Mo Mg Hg
1 2 1
Direct
0.500 0.500 0.250
0.000 0.000 0.484
0.000 0.000 0.016
0.500 0.500 0.750
```


8.
MgHg2Mo | PBE | optimized geometry

Summary:
Calculated formation energy ... 0.4545 eV/atom
Space-group type ... I-4m2 (119)

The structure in POSCAR format:
```
MgHg2Mo
1.0
-0.073 -0.603 -5.472
3.381 -3.803 -2.103
-3.740 0.211 4.035
Mg Hg Mo
1 2 1
Direct
0.500 0.500 0.000
0.250 0.750 0.500
0.000 0.000 0.000
0.750 0.250 0.500
```


9.
MgHgMo2 | PBE | optimized geometry

Summary:
Calculated formation energy ... 0.3435 eV/atom
Space-group type ... P4/mmm (123)
ΔE to the lowest computed polymorph ... 137 meV/atom

The structure in POSCAR format:
```
MgHgMo2
1.0
-4.020 2.271 -0.551
-1.142 -2.641 -2.556
-1.561 -2.074 2.841
Mo Mg Hg
2 1 1
Direct
0.000 0.000 0.000
0.000 0.500 0.500
0.500 0.000 0.500
0.500 0.500 0.000
```


10.
MgHgMo2 | PBE | optimized geometry

Summary:
Calculated formation energy ... 1.0123 eV/atom
Space-group type ... I-42d (122)
ΔE to the lowest computed polymorph ... 806 meV/atom

The structure in POSCAR format:
```
MgHgMo2
1.0
7.595 0.000 0.000
0.000 7.595 0.000
3.797 3.797 2.645
Hg Mo Mg
2 4 2
Direct
0.750 0.250 0.500
0.000 0.000 0.000
0.875 0.879 0.750
0.375 0.371 0.750
0.121 0.625 0.250
0.629 0.125 0.250
0.500 0.500 0.000
0.250 0.750 0.500
```


11.
Mg2HgMo | PBE | optimized geometry

Summary:
Calculated formation energy ... 0.2565 eV/atom
Space-group type ... Pmmm (47)

The structure in POSCAR format:
```
Mg2HgMo
1.0
-1.197 -0.762 2.635
-1.001 -3.675 -1.517
5.397 -2.218 1.812
Mg Hg Mo
2 1 1
Direct
0.000 0.000 0.484
0.000 0.000 0.016
0.500 0.500 0.750
0.500 0.500 0.250
```


12.
MgHgMo2 | PBE | optimized geometry

Summary:
Calculated formation energy ... 0.3501 eV/atom
Space-group type ... C2/m (12)
ΔE to the lowest computed polymorph ... 144 meV/atom

The structure in POSCAR format:
```
MgHgMo2
1.0
5.425 -0.011 0.002
4.297 3.312 0.002
1.549 0.526 3.857
Mo Hg Mg
2 1 1
Direct
0.499 0.499 0.519
0.001 0.001 0.981
0.250 0.250 0.250
0.750 0.750 0.750
```